# 1
This record from Alexandria via LeMat-Bulk describes a geometry-optimized MnSi2Hg structure. The functional is GGA-PBE.

Values from the calculation:
Total DFT energy (no corrections), eV/cell: -18.26
Symmetry: Cmmm (65)
N(E_F), states/eV/atom: 0.49
Spin magnetization, μB per cell: 3.523

The structure in POSCAR format:
```
MnSi2Hg
1.0
-0.8250 1.5755 -4.6234
0.3066 -4.9055 -0.6175
-2.8080 -0.2288 0.4231
Hg Mn Si
1 1 2
direct
0.5000 0.0000 0.5000
0.0000 0.5000 0.5000
0.0000 0.0000 0.0000
0.5000 0.5000 0.0000
```

***

# 2
This record from Alexandria via LeMat-Bulk describes a geometry-optimized MnSiHg2 structure. The functional is GGA-PBE.

Values from the calculation:
Total DFT energy (no corrections), eV/cell: -13.30
Symmetry: I-4m2 (119)
N(E_F), states/eV/atom: 0.63
Spin magnetization, μB per cell: 3.812

The structure in POSCAR format:
```
MnSiHg2
1.0
5.3481 0.0000 0.0000
2.1484 4.8976 0.0000
-3.7482 -2.4488 2.9251
Hg Mn Si
2 1 1
direct
0.0000 0.0000 0.0000
0.2500 0.7500 0.5000
0.5000 0.5000 0.0000
0.7500 0.2500 0.5000
```

***

# 3
This record from Alexandria via LeMat-Bulk describes a geometry-optimized MnSi2Hg structure. The functional is GGA-PBE.

Values from the calculation:
Total DFT energy (no corrections), eV/cell: -18.41
Symmetry: P4/mmm (123)
N(E_F), states/eV/atom: 0.40
Spin magnetization, μB per cell: 3.706

The structure in POSCAR format:
```
MnSi2Hg
1.0
-0.2415 -3.8596 -0.6134
3.7587 -0.4997 1.6642
-1.7188 -0.4862 3.7359
Hg Mn Si
1 1 2
direct
0.5000 0.5000 0.0000
0.5000 0.0000 0.5000
0.0000 0.0000 0.0000
0.0000 0.5000 0.5000
```

***

# 4
This record from Alexandria via LeMat-Bulk describes a geometry-optimized Mn2SiHg structure. The functional is GGA-PBE.

Values from the calculation:
Total DFT energy (no corrections), eV/cell: -23.05
Symmetry: Immm (71)
N(E_F), states/eV/atom: 0.61
Spin magnetization, μB per cell: 5.337
Energy above the lowest structure with this stoichiometry, meV/atom: 174

The structure in POSCAR format:
```
Mn2SiHg
1.0
4.7376 -0.0079 -0.0045
1.3218 4.5495 0.0045
-2.6621 -2.7613 2.7809
Hg Mn Si
1 2 1
direct
0.2500 0.7500 0.5000
0.9697 0.9697 0.0000
0.5303 0.5303 0.0000
0.7500 0.2500 0.5000
```

***

# 5
This record from Alexandria via LeMat-Bulk describes a geometry-optimized MnSiHg2 structure. The functional is GGA-PBE.

Values from the calculation:
Total DFT energy (no corrections), eV/cell: -14.56
Symmetry: Immm (71)
N(E_F), states/eV/atom: 0.73
Spin magnetization, μB per cell: 1.820

The structure in POSCAR format:
```
MnSiHg2
1.0
7.5768 0.0181 0.0007
6.0613 4.5463 -0.0007
-6.5650 -3.0413 2.2494
Hg Mn Si
2 1 1
direct
0.9246 0.9246 0.0000
0.5754 0.5754 0.0000
0.7500 0.2500 0.5000
0.2500 0.7500 0.5000
```

***

# 6
This record from Alexandria via LeMat-Bulk describes a geometry-optimized MnSi2Hg structure. The functional is GGA-PBE.

Values from the calculation:
Total DFT energy (no corrections), eV/cell: -18.43
Symmetry: I-4m2 (119)
N(E_F), states/eV/atom: 0.53
Spin magnetization, μB per cell: 3.445

The structure in POSCAR format:
```
MnSi2Hg
1.0
-2.6566 3.3620 -2.7772
-3.6594 2.4417 2.5925
4.9643 -0.9146 0.7703
Hg Mn Si
1 1 2
direct
0.5000 0.5000 0.0000
0.7500 0.2500 0.5000
0.0000 0.0000 0.0000
0.2500 0.7500 0.5000
```

***

# 7
This record from Alexandria via LeMat-Bulk describes a geometry-optimized Mn2SiHg structure. The functional is GGA-PBE.

Values from the calculation:
Total DFT energy (no corrections), eV/cell: -23.14
Symmetry: C2/m (12)
N(E_F), states/eV/atom: 0.47
Spin magnetization, μB per cell: 5.640
Energy above the lowest structure with this stoichiometry, meV/atom: 152

The structure in POSCAR format:
```
Mn2SiHg
1.0
3.5890 -0.2740 0.0453
2.6530 2.4326 0.0453
0.9980 0.3451 6.8272
Hg Mn Si
1 2 1
direct
0.7500 0.7500 0.7500
0.9929 0.9929 0.0509
0.5071 0.5071 0.4491
0.2500 0.2500 0.2500
```

***

# 8
This record from Alexandria via LeMat-Bulk describes a geometry-optimized Mn2SiHg structure. The functional is GGA-PBE.

Values from the calculation:
Total DFT energy (no corrections), eV/cell: -23.06
Symmetry: P4mm (99)
N(E_F), states/eV/atom: 0.75
Spin magnetization, μB per cell: 1.946
Energy above the lowest structure with this stoichiometry, meV/atom: 170

The structure in POSCAR format:
```
Mn2SiHg
1.0
2.8162 -0.0114 0.0000
0.0106 2.8162 0.0000
0.0000 0.0000 7.6248
Hg Mn Si
1 2 1
direct
0.5000 0.5000 0.7661
0.0000 0.0000 0.0528
0.5000 0.5000 0.2458
0.0000 0.0000 0.4353
```

***

# 9
This record from Alexandria via LeMat-Bulk describes a geometry-optimized MnSiHg2 structure. The functional is GGA-PBE.

Values from the calculation:
Total DFT energy (no corrections), eV/cell: -13.36
Symmetry: Cmmm (65)
N(E_F), states/eV/atom: 0.57
Spin magnetization, μB per cell: 3.881

The structure in POSCAR format:
```
MnSiHg2
1.0
5.0242 0.0248 0.0000
-1.9880 4.6143 0.0000
0.0000 0.0000 3.3397
Hg Mn Si
2 1 1
direct
0.0000 0.0000 0.0000
0.5000 0.5000 0.0000
0.5000 0.0000 0.5000
0.0000 0.5000 0.5000
```

***

# 10
This record from Alexandria via LeMat-Bulk describes a geometry-optimized Mn2SiHg structure. The functional is GGA-PBE.

Values from the calculation:
Total DFT energy (no corrections), eV/cell: -21.90
Symmetry: F-43m (216)
N(E_F), states/eV/atom: 0.65
Spin magnetization, μB per cell: 5.172
Energy above the lowest structure with this stoichiometry, meV/atom: 461

The structure in POSCAR format:
```
Mn2SiHg
1.0
-3.0802 2.2946 -2.0977
-3.2594 -2.0779 -2.0522
-4.0667 0.1834 1.6067
Hg Mn Si
1 2 1
direct
0.5000 0.5000 0.5000
0.0000 0.0000 0.0000
0.2500 0.2500 0.2500
0.7500 0.7500 0.7500
```

***

# 11
This record from Alexandria via LeMat-Bulk describes a geometry-optimized MnSi2Hg structure. The functional is GGA-PBE.

Values from the calculation:
Total DFT energy (no corrections), eV/cell: -18.59
Symmetry: Imm2 (44)
N(E_F), states/eV/atom: 0.49
Spin magnetization, μB per cell: 3.038

The structure in POSCAR format:
```
MnSi2Hg
1.0
-1.1161 -0.1914 -5.6225
3.6155 -2.4685 -3.7054
-3.5926 -0.1814 4.4671
Hg Mn Si
1 1 2
direct
0.4833 0.4833 0.0000
0.2206 0.7206 0.5000
0.0152 0.0152 0.0000
0.7809 0.2809 0.5000
```

***

# 12
This record from Alexandria via LeMat-Bulk describes a geometry-optimized MnSiHg2 structure. The functional is GGA-PBE.

Values from the calculation:
Total DFT energy (no corrections), eV/cell: -13.78
Symmetry: Imm2 (44)
N(E_F), states/eV/atom: 0.59
Spin magnetization, μB per cell: 3.200

The structure in POSCAR format:
```
MnSiHg2
1.0
-1.5783 -6.1601 0.8887
2.4015 -4.1584 4.2624
-3.0555 5.3851 -1.7007
Hg Mn Si
2 1 1
direct
0.9979 0.9979 0.0000
0.7029 0.2029 0.5000
0.4860 0.4860 0.0000
0.3132 0.8132 0.5000
```